# 1
First-principles (PBE) data for Nd2ThCo6 after structural relaxation, as listed in the Alexandria database.

Results
Formation enthalpy at 0 K = -120 meV/atom
Calculated total energy = -6.74 eV per atom
Symmetry = P6/mmm (191)

CIF file:
```
data_Nd2ThCo6
_space_group_name_H-M_alt 'P 1'
_space_group_IT_number 1
_space_group_name_Hall 'P 1'
_cell_length_a 4.130
_cell_length_b 6.795
_cell_length_c 6.795
_cell_angle_alpha 120.00
_cell_angle_beta 90.00
_cell_angle_gamma 90.00
loop_
_atom_site_label
_atom_site_type_symbol
_atom_site_fract_x
_atom_site_fract_y
_atom_site_fract_z
Co1 Co 0.500 0.000 0.332
Co2 Co 0.500 0.668 0.000
Co3 Co 0.500 0.000 0.668
Co4 Co 0.500 0.668 0.668
Co5 Co 0.500 0.332 0.332
Co6 Co 0.500 0.332 0.000
Nd1 Nd 0.000 0.333 0.667
Nd2 Nd 0.000 0.667 0.333
Th1 Th 0.000 0.000 0.000
```

=====

# 2
First-principles (PBE) data for NdThCo10 after structural relaxation, as listed in the Alexandria database.

Results
Formation enthalpy at 0 K = -88 meV/atom
Calculated total energy = -7.03 eV per atom
Symmetry = Pmmm (47)

CIF file:
```
data_NdThCo10
_space_group_name_H-M_alt 'P 1'
_space_group_IT_number 1
_space_group_name_Hall 'P 1'
_cell_length_a 3.983
_cell_length_b 4.958
_cell_length_c 8.651
_cell_angle_alpha 90.00
_cell_angle_beta 90.00
_cell_angle_gamma 90.00
loop_
_atom_site_label
_atom_site_type_symbol
_atom_site_fract_x
_atom_site_fract_y
_atom_site_fract_z
Co1 Co 0.000 0.500 0.179
Co2 Co 0.500 0.500 0.000
Co3 Co 0.000 0.000 0.338
Co4 Co 0.500 0.247 0.752
Co5 Co 0.500 0.753 0.248
Co6 Co 0.000 0.500 0.821
Co7 Co 0.500 0.000 0.500
Co8 Co 0.500 0.247 0.248
Co9 Co 0.000 0.000 0.662
Co10 Co 0.500 0.753 0.752
Th1 Th 0.000 0.500 0.500
Nd1 Nd 0.000 0.000 0.000
```

=====

# 3
First-principles (PBE) data for NdTh2Co9 after structural relaxation, as listed in the Alexandria database.

Results
Formation enthalpy at 0 K = -135 meV/atom
Calculated total energy = -7.10 eV per atom
Symmetry = R-3m (166)

CIF file:
```
data_NdTh2Co9
_space_group_name_H-M_alt 'P 1'
_space_group_IT_number 1
_space_group_name_Hall 'P 1'
_cell_length_a 5.003
_cell_length_b 5.003
_cell_length_c 8.833
_cell_angle_alpha 73.55
_cell_angle_beta 73.55
_cell_angle_gamma 60.00
loop_
_atom_site_label
_atom_site_type_symbol
_atom_site_fract_x
_atom_site_fract_y
_atom_site_fract_z
Nd1 Nd 0.000 0.000 0.000
Th1 Th 0.137 0.137 0.588
Th2 Th 0.863 0.863 0.412
Co1 Co 0.082 0.579 0.760
Co2 Co 0.421 0.918 0.240
Co3 Co 0.579 0.082 0.760
Co4 Co 0.667 0.667 0.999
Co5 Co 0.421 0.421 0.240
Co6 Co 0.918 0.421 0.240
Co7 Co 0.579 0.579 0.760
Co8 Co 0.500 0.500 0.500
Co9 Co 0.333 0.333 0.001
```